This record from Alexandria via LeMat-Bulk describes a relaxed La3GaCu crystal. The functional is PBE-GGA.

Calculated values
The formation energy comes out at 0.193 eV per atom. The space group is Pm-3m, No. 221. The value obtained for the total energy is -4.19 eV per atom. The size of the total moment comes out at 1.68 Bohr magnetons per cell. Its polymorph energy (0 for the lowest one) is 462 meV/atom.

Unit cell a=5.8146 b=5.8146 c=5.8146 alpha=90.00 beta=90.00 gamma=90.00
Element x y z (fractional)
La 0.0000 0.0000 0.5000
La 0.0000 0.5000 0.0000
La 0.5000 0.0000 0.0000
Ga 0.5000 0.5000 0.5000
Cu 0.0000 0.0000 0.0000

This record from Alexandria via LeMat-Bulk describes a relaxed LaGa2Cu5 crystal. The functional is PBE-GGA.

Calculated values
The formation energy comes out at -0.207 eV per atom. The space group is Immm, No. 71. The value obtained for the total energy is -4.14 eV per atom. The size of the total moment comes out at 0.00 Bohr magnetons per cell.

Unit cell a=6.2713 b=6.2713 c=6.2713 alpha=143.02 beta=114.01 gamma=78.13
Element x y z (fractional)
La 0.0000 0.0000 0.0000
Ga 0.2514 0.7514 0.5000
Ga 0.7486 0.2486 0.5000
Cu 0.1874 0.3671 0.8203
Cu 0.4532 0.6329 0.8203
Cu 0.5000 0.0000 0.5000
Cu 0.5468 0.3671 0.1797
Cu 0.8126 0.6329 0.1797

This record from Alexandria via LeMat-Bulk describes a relaxed LaGa2Cu2 crystal. The functional is PBE-GGA.

Calculated values
The formation energy comes out at -0.136 eV per atom. The space group is P4/mbm, No. 127. The value obtained for the total energy is -3.97 eV per atom. The size of the total moment comes out at 0.00 Bohr magnetons per cell.

Unit cell a=7.8661 b=7.8661 c=2.9118 alpha=90.00 beta=90.00 gamma=90.00
Element x y z (fractional)
La 0.0000 0.0000 0.0000
La 0.5000 0.5000 0.0000
Ga 0.1675 0.3325 0.5000
Ga 0.3325 0.8325 0.5000
Ga 0.6675 0.1675 0.5000
Ga 0.8325 0.6675 0.5000
Cu 0.1173 0.6173 0.0000
Cu 0.3827 0.1173 0.0000
Cu 0.6173 0.8827 0.0000
Cu 0.8827 0.3827 0.0000

This record from Alexandria via LeMat-Bulk describes a relaxed La3Ga4Cu2 crystal. The functional is PBE-GGA.

Calculated values
The formation energy comes out at -0.515 eV per atom. The space group is C2/m, No. 12. The value obtained for the total energy is -4.41 eV per atom. The size of the total moment comes out at 0.00 Bohr magnetons per cell.

Unit cell a=5.8968 b=5.8968 c=8.6529 alpha=104.04 beta=104.04 gamma=44.99
Element x y z (fractional)
La 0.0000 0.0000 0.0000
La 0.3661 0.3661 0.3159
La 0.6339 0.6339 0.6841
Ga 0.0988 0.0988 0.4133
Ga 0.2780 0.2780 0.9310
Ga 0.7220 0.7220 0.0690
Ga 0.9012 0.9012 0.5867
Cu 0.3372 0.3372 0.6708
Cu 0.6628 0.6628 0.3292

This record from Alexandria via LeMat-Bulk describes a relaxed La2Ga4Cu crystal. The functional is PBE-GGA.

Calculated values
The formation energy comes out at -0.337 eV per atom. The space group is I4/mmm, No. 139. The value obtained for the total energy is -4.06 eV per atom. The size of the total moment comes out at 0.00 Bohr magnetons per cell.

Unit cell a=8.5259 b=8.5259 c=8.5259 alpha=148.61 beta=148.61 gamma=44.99
Element x y z (fractional)
La 0.1493 0.1493 0.0000
La 0.8507 0.8507 0.0000
Ga 0.0000 0.5000 0.5000
Ga 0.3438 0.3438 0.0000
Ga 0.5000 0.0000 0.5000
Ga 0.6562 0.6562 0.0000
Cu 0.5000 0.5000 0.0000

This record from Alexandria via LeMat-Bulk describes a relaxed LaGa4Cu4 crystal. The functional is PBE-GGA.

Calculated values
The formation energy comes out at -0.178 eV per atom. The space group is P4_2/n, No. 86. The value obtained for the total energy is -3.89 eV per atom. The size of the total moment comes out at 0.00 Bohr magnetons per cell.

Unit cell a=8.3548 b=8.3548 c=4.5793 alpha=90.00 beta=90.00 gamma=90.00
Element x y z (fractional)
La 0.2500 0.2500 0.2500
La 0.7500 0.7500 0.7500
Ga 0.1346 0.8593 0.7476
Ga 0.1407 0.6346 0.2476
Ga 0.3593 0.8654 0.2476
Ga 0.3654 0.6407 0.7476
Ga 0.6346 0.3593 0.2524
Ga 0.6407 0.1346 0.7524
Ga 0.8593 0.3654 0.7524
Ga 0.8654 0.1407 0.2524
Cu 0.0366 0.9135 0.2477
Cu 0.0865 0.5366 0.7477
Cu 0.4135 0.9634 0.7477
Cu 0.4634 0.5865 0.2477
Cu 0.5366 0.4135 0.7523
Cu 0.5865 0.0366 0.2523
Cu 0.9135 0.4634 0.2523
Cu 0.9634 0.0865 0.7523

What is the formula in the fifth record?
La2Ga4Cu

Which value of total energy does entry 1 give?
-4.19 eV per atom